# Y2MnTl (PBE, optimized geometry)
data_Y2MnTl
_cell_length_a 3.6240
_cell_length_b 4.5539
_cell_length_c 6.3935
_cell_angle_alpha 90.00
_cell_angle_beta 90.00
_cell_angle_gamma 90.00
_symmetry_space_group_name_H-M 'P 1'
_symmetry_Int_Tables_number 1
loop_
_symmetry_equiv_pos_as_xyz
'x,y,z'
loop_
_atom_site_label
_atom_site_type_symbol
_atom_site_fract_x
_atom_site_fract_y
_atom_site_fract_z
Y1 Y 0.5000 0.5000 0.2856
Y2 Y 0.0000 0.0000 0.9788
Mn1 Mn 0.0000 0.0000 0.4734
Tl1 Tl 0.5000 0.5000 0.7622
# * total DFT energy (no corrections): -6.0005 eV per atom